1.
First-principles (GGA-PBE) data for crystalline CaReAs at its relaxed geometry, as listed in the Alexandria database.

Symmetry ... P-6m2 (187)

The structure in extended XYZ format:
```
3
Lattice="4.236 0.000 0.000 -2.118 3.668 0.000 0.000 0.000 4.133" Properties=species:S:1:pos:R:3 pbc="T T T"
Ca 0.000 0.000 0.000
Re 2.118 1.223 2.066
As 0.000 2.445 2.066
```



2.
First-principles (GGA-PBE) data for crystalline RbCaNb at its relaxed geometry, as listed in the Alexandria database.

Symmetry ... P4/nmm (129)

The structure in extended XYZ format:
```
6
Lattice="4.028 0.000 0.000 0.000 4.028 0.000 0.000 0.000 14.904" Properties=species:S:1:pos:R:3 pbc="T T T"
Rb 1.007 1.007 3.493
Rb 3.021 3.021 11.410
Ca 1.007 3.021 7.452
Ca 3.021 1.007 7.452
Nb 1.007 1.007 14.824
Nb 3.021 3.021 0.080
```



3.
First-principles (GGA-PBE) data for crystalline RbInSi at its relaxed geometry, as listed in the Alexandria database.

Symmetry ... Pmma (51)

The structure in extended XYZ format:
```
6
Lattice="7.535 0.000 0.000 0.000 6.323 0.000 0.000 0.000 4.485" Properties=species:S:1:pos:R:3 pbc="T T T"
Rb 1.884 0.000 1.104
Rb 5.651 0.000 3.381
In 0.000 3.161 2.243
In 3.768 3.161 2.243
Si 1.884 3.161 4.009
Si 5.651 3.161 0.476
```



no.,magnetic moment (μB per atom),total DFT energy (no corrections) (eV per atom)
1,0.000,-6.343
2,0.170,-3.172
3,0.000,-2.824